# meta-GGA SCAN TlCoRh2Cl, PBEsol geometry
# - total magnetization (μB/cell) = 4.36
# - density of states at the Fermi level (states/eV per cell) = 2.936
# - energy relative to the elements, uncorrected (eV per atom) = 1.4245
# - uncorrected energy (eV per atom) = -31.61
data_TlCoRh2Cl
_chemical_formula_sum 'Tl1 Co1 Rh2 Cl1'
_space_group_name_H-M_alt 'P 4/m m m'
_space_group_IT_number 123
_space_group_name_Hall '-P 4 2'
_cell_length_a 4.970
_cell_length_b 4.970
_cell_length_c 4.767
_cell_angle_alpha 90.00
_cell_angle_beta 90.00
_cell_angle_gamma 90.00
loop_
_atom_site_label
_atom_site_type_symbol
_atom_site_fract_x
_atom_site_fract_y
_atom_site_fract_z
_atom_site_occupancy
Tl1 Tl 0.000 0.000 0.000 1
Co1 Co 0.000 0.000 0.500 1
Rh1 Rh 0.000 0.500 0.000 1
Cl1 Cl 0.500 0.500 0.500 1